This record from Alexandria describes a relaxed Y8Th2Sc crystal. The functional is GGA-PBE.

Values from the calculation:
calculated formation energy = 0.19 eV per atom
Fermi-level density of states = 16.27 states/eV/cell
magnetization = 0.00 μB per formula unit

Unit cell a=6.5804 b=6.6382 c=8.9349 alpha=111.81 beta=99.42 gamma=90.00
Last column: nearest neighbours and their distance in Å.
Fractional positions:
Y: 0.9053 0.5933 0.1866  1 Th 3.34, 8 Y 3.53-3.73
Th: 0.3442 0.2479 0.4958  7 Y 3.27-3.43
Sc: 0.0000 0.0000 0.0000  4 Y 3.19
Y: 0.6093 0.6590 0.8325  1 Sc 3.19, 4 Y 3.22-3.52, 2 Th 3.27-3.42
Y: 0.0947 0.4067 0.8134  1 Th 3.34, 8 Y 3.53-3.73
Y: 0.3907 0.8265 0.1675  1 Sc 3.19, 4 Y 3.22-3.52, 2 Th 3.27-3.42
Th: 0.6558 0.7521 0.5042  7 Y 3.27-3.43
Y: 0.3907 0.3410 0.1675  1 Sc 3.19, 4 Y 3.22-3.52, 2 Th 3.27-3.42
Y: 0.8218 0.1921 0.3842  4 Th 3.40-3.69, 5 Y 3.52-3.78, 1 Sc 3.58
Y: 0.1782 0.8079 0.6158  4 Th 3.40-3.69, 5 Y 3.52-3.78, 1 Sc 3.58
Y: 0.6093 0.1735 0.8325  1 Sc 3.19, 4 Y 3.22-3.52, 2 Th 3.27-3.42

This record from Alexandria describes a relaxed Y3ThSc4 crystal. The functional is GGA-PBE.

Values from the calculation:
calculated formation energy = 0.43 eV per atom
Fermi-level density of states = 18.09 states/eV/cell
magnetization = 0.05 μB per formula unit

Unit cell a=3.2617 b=8.4909 c=8.4909 alpha=96.80 beta=90.00 gamma=90.00
Last column: nearest neighbours and their distance in Å.
Fractional positions:
Y: 0.0000 0.5000 0.0000  6 Sc 3.18-3.26, 2 Y 3.26
Sc: 0.0000 0.2405 0.2405  2 Th 3.16, 4 Y 3.18-3.35, 2 Sc 3.26
Sc: 0.5000 0.2483 0.7517  1 Th 3.15, 5 Y 3.20-3.26, 2 Sc 3.26
Sc: 0.0000 0.7595 0.7595  2 Th 3.16, 4 Y 3.18-3.35, 2 Sc 3.26
Y: 0.5000 0.5000 0.5000  6 Sc 3.20-3.35, 2 Y 3.26
Sc: 0.5000 0.7517 0.2483  1 Th 3.15, 5 Y 3.20-3.26, 2 Sc 3.26
Th: 0.5000 0.0000 0.0000  6 Sc 3.15-3.16, 2 Th 3.26
Y: 0.0000 0.0000 0.5000  6 Sc 3.18-3.26, 2 Y 3.26

This record from Alexandria describes a relaxed YTh3Sc7 crystal. The functional is GGA-PBE.

Values from the calculation:
calculated formation energy = 0.23 eV per atom
Fermi-level density of states = 15.91 states/eV/cell
magnetization = 0.00 μB per formula unit

Unit cell a=8.0257 b=6.7546 c=6.7546 alpha=120.00 beta=90.00 gamma=90.00
Last column: nearest neighbours and their distance in Å.
Fractional positions:
Y: 0.4436 0.3333 0.6667  9 Sc 3.28-3.38, 3 Th 3.39
Th: 0.7877 0.9975 0.4988  5 Sc 3.29-3.36, 4 Th 3.35-3.40, 1 Y 3.39
Th: 0.7877 0.5012 0.0025  5 Sc 3.29-3.36, 4 Th 3.35-3.40, 1 Y 3.39
Sc: 0.4451 0.8329 0.1671  7 Sc 3.24-3.39, 2 Th 3.36, 2 Y 3.38
Sc: 0.1168 0.1649 0.8351  8 Sc 3.27-3.41, 1 Y 3.28, 2 Th 3.29
Th: 0.7877 0.5012 0.4988  5 Sc 3.29-3.36, 4 Th 3.35-3.40, 1 Y 3.39
Sc: 0.1168 0.1649 0.3298  8 Sc 3.27-3.41, 1 Y 3.28, 2 Th 3.29
Sc: 0.1229 0.6667 0.3333  9 Sc 3.24-3.38, 3 Th 3.31
Sc: 0.4451 0.8329 0.6657  7 Sc 3.24-3.39, 2 Th 3.36, 2 Y 3.38
Sc: 0.1168 0.6702 0.8351  8 Sc 3.27-3.41, 1 Y 3.28, 2 Th 3.29
Sc: 0.4451 0.3343 0.1671  7 Sc 3.24-3.39, 2 Th 3.36, 2 Y 3.38

This record from Alexandria describes a relaxed Y2ThSc6 crystal. The functional is GGA-PBE.

Values from the calculation:
calculated formation energy = 0.04 eV per atom
Fermi-level density of states = 17.27 states/eV/cell
magnetization = 1.14 μB per formula unit

Unit cell a=3.3450 b=8.2750 c=9.7335 alpha=95.05 beta=110.11 gamma=101.66
Last column: nearest neighbours and their distance in Å.
Fractional positions:
Sc: 0.1744 0.0048 0.6719  5 Sc 3.05-3.35, 4 Y 3.38-3.39
Sc: 0.8256 0.9952 0.3281  5 Sc 3.05-3.35, 4 Y 3.38-3.39
Sc: 0.5621 0.3596 0.8824  8 Sc 3.10-3.35
Sc: 0.8801 0.3281 0.2160  6 Sc 3.05-3.35, 1 Y 3.35
Sc: 0.1199 0.6719 0.7840  6 Sc 3.05-3.35, 1 Y 3.35
Y: 0.3029 0.6883 0.4586  4 Y 3.35-3.67, 9 Sc 3.35-3.50
Th: 0.0000 0.0000 0.0000  2 Th 3.35, 12 Sc 3.44-3.68
Y: 0.6971 0.3117 0.5414  4 Y 3.35-3.67, 9 Sc 3.35-3.50
Sc: 0.4379 0.6404 0.1176  8 Sc 3.10-3.35

This record from Alexandria describes a relaxed Y12Th5Sc crystal. The functional is GGA-PBE.

Values from the calculation:
calculated formation energy = 0.01 eV per atom
Fermi-level density of states = 26.62 states/eV/cell
magnetization = 0.00 μB per formula unit

Unit cell a=6.1956 b=6.1932 c=17.3878 alpha=93.41 beta=96.84 gamma=59.99
Last column: nearest neighbours and their distance in Å.
Fractional positions:
Th: 0.6666 0.6669 0.0000  6 Y 3.52, 3 Th 3.57-3.58, 3 Sc 3.58
Y: 0.0547 0.6676 0.1648  1 Sc 3.51, 2 Th 3.52, 9 Y 3.56-3.62
Th: 0.8334 0.3332 0.5000  6 Y 3.49, 6 Th 3.57-3.58
Th: 0.3334 0.3331 0.0000  6 Y 3.52, 3 Th 3.57-3.58, 3 Sc 3.58
Y: 0.2777 0.6676 0.8352  1 Sc 3.51, 2 Th 3.52, 9 Y 3.56-3.62
Y: 0.7782 0.0000 0.3371  3 Th 3.49, 9 Y 3.57-3.62
Y: 0.1115 0.3334 0.3367  3 Th 3.49-3.50, 9 Y 3.57-3.62
Y: 0.4449 0.6666 0.3367  3 Th 3.49-3.50, 9 Y 3.57-3.62
Y: 0.2218 0.0000 0.6629  3 Th 3.49, 9 Y 3.57-3.62
Th: 0.5000 0.0000 0.5000  6 Y 3.49-3.50, 6 Th 3.58
Y: 0.9453 0.3324 0.8352  1 Sc 3.51, 2 Th 3.52, 9 Y 3.56-3.62
Sc: 0.0000 0.0000 0.0000  6 Y 3.51, 6 Th 3.58
Y: 0.8885 0.6666 0.6633  3 Th 3.49-3.50, 9 Y 3.57-3.62
Y: 0.7223 0.3324 0.1648  1 Sc 3.51, 2 Th 3.52, 9 Y 3.56-3.62
Th: 0.1666 0.6668 0.5000  6 Y 3.49, 6 Th 3.57-3.58
Y: 0.6127 0.0000 0.8353  1 Sc 3.51, 2 Th 3.52, 9 Y 3.57-3.62
Y: 0.5551 0.3334 0.6633  3 Th 3.49-3.50, 9 Y 3.57-3.62
Y: 0.3873 0.0000 0.1647  1 Sc 3.51, 2 Th 3.52, 9 Y 3.57-3.62

This record from Alexandria describes a relaxed YThSc5 crystal. The functional is GGA-PBE.

Values from the calculation:
calculated formation energy = 0.09 eV per atom
Fermi-level density of states = 19.28 states/eV/cell
magnetization = 0.00 μB per formula unit

Unit cell a=6.1580 b=6.1580 c=11.0188 alpha=106.08 beta=106.08 gamma=96.32
Last column: nearest neighbours and their distance in Å.
Fractional positions:
Sc: 0.0359 0.3856 0.3373  6 Sc 3.14-3.50, 2 Th 3.30-3.37, 1 Y 3.37
Sc: 0.4631 0.7680 0.5363  6 Sc 3.06-3.37, 2 Th 3.16-3.25, 1 Y 3.30
Sc: 0.2320 0.5369 0.9637  6 Sc 3.06-3.37, 2 Th 3.16-3.25, 1 Y 3.30
Th: 0.4901 0.5099 0.7500  9 Sc 3.16-3.37
Sc: 0.5369 0.2320 0.4637  6 Sc 3.06-3.37, 2 Th 3.16-3.25, 1 Y 3.30
Sc: 0.1642 0.8358 0.2500  6 Sc 3.06-3.35, 2 Y 3.14, 1 Th 3.17
Th: 0.5099 0.4901 0.2500  9 Sc 3.16-3.37
Y: 0.0000 0.0000 0.0000  6 Sc 3.14-3.37
Sc: 0.7680 0.4631 0.0363  6 Sc 3.06-3.37, 2 Th 3.16-3.25, 1 Y 3.30
Sc: 0.9641 0.6144 0.6627  6 Sc 3.14-3.50, 2 Th 3.30-3.37, 1 Y 3.37
Sc: 0.3856 0.0359 0.8373  6 Sc 3.14-3.50, 2 Th 3.30-3.37, 1 Y 3.37
Y: 0.0000 0.0000 0.5000  6 Sc 3.14-3.37
Sc: 0.6144 0.9641 0.1627  6 Sc 3.14-3.50, 2 Th 3.30-3.37, 1 Y 3.37
Sc: 0.8358 0.1642 0.7500  6 Sc 3.06-3.35, 2 Y 3.14, 1 Th 3.17

This record from Alexandria describes a relaxed ThSc2Zn crystal. The functional is GGA-PBE.

Values from the calculation:
calculated formation energy = -0.02 eV per atom
Fermi-level density of states = 6.10 states/eV/cell
magnetization = 0.00 μB per formula unit

Unit cell a=4.6128 b=4.5607 c=4.5607 alpha=90.00 beta=90.00 gamma=90.00
Last column: nearest neighbours and their distance in Å.
Fractional positions:
Sc: 0.0000 0.5000 0.0000  4 Sc 3.22, 4 Th 3.24, 4 Zn 3.24
Sc: 0.0000 0.0000 0.5000  4 Sc 3.22, 4 Th 3.24, 4 Zn 3.24
Th: 0.5000 0.5000 0.5000  4 Zn 3.22, 8 Sc 3.24
Zn: 0.5000 0.0000 0.0000  4 Th 3.22, 8 Sc 3.24

This record from Alexandria describes a relaxed ThSc2Zn6 crystal. The functional is GGA-PBE.

Values from the calculation:
calculated formation energy = -0.30 eV per atom
Fermi-level density of states = 6.68 states/eV/cell
magnetization = 0.00 μB per formula unit

Unit cell a=3.3012 b=7.7515 c=8.4190 alpha=117.41 beta=113.08 gamma=90.00
Last column: nearest neighbours and their distance in Å.
Fractional positions:
Zn: 0.1585 0.0001 0.6580  3 Zn 2.45-2.65
Zn: 0.8415 0.9999 0.3420  3 Zn 2.45-2.65
Zn: 0.8415 0.3420 0.3420  3 Zn 2.45-2.65
Sc: 0.3342 0.6671 0.3342  12 Zn 3.03-3.04, 2 Sc 3.30
Sc: 0.6658 0.3329 0.6658  12 Zn 3.03-3.04, 2 Sc 3.30
Th: 0.0000 0.0000 0.0000  12 Zn 3.12, 2 Th 3.30
Zn: 0.1585 0.6580 0.6580  3 Zn 2.45-2.65
Zn: 0.5000 0.6579 0.0000  3 Zn 2.45-2.65
Zn: 0.5000 0.3421 0.0000  3 Zn 2.45-2.65